SiTeIr2 after structural relaxation. Source: Alexandria via LeMat-Bulk, functional PBE.

Calculated total energy, eV per cell: -94.12
Density of states at the Fermi level, states/eV per cell: 17.4
Magnetization, μB per cell: 0.000
Uncorrected formation energy, eV per atom: 0.689
ΔE to the lowest computed polymorph, meV per atom: 893

Lattice parameters (Å, degrees): 6.4750 6.4750 6.4750 90.00 90.00 90.00
Space group F-43m (No. 216)
Unique sites:
Si (0.0000, 0.0000, 0.0000) x4
Te (0.2500, 0.2500, 0.2500) x4
Ir (0.0000, 0.0000, 0.5000) x4
Ir (0.2500, 0.2500, 0.7500) x4

***

Er12Cu6Bi after structural relaxation. Source: Alexandria via LeMat-Bulk, functional PBE.

Calculated total energy, eV per cell: -175.37
Density of states at the Fermi level, states/eV per cell: 32.8
Magnetization, μB per cell: 0.000
ΔH_f (0 K), eV per atom: -0.24

Lattice parameters (Å, degrees): 9.8158 9.8158 9.8158 90.00 90.00 90.00
Space group Im-3 (No. 204)
Unique sites:
Er (0.0000, 0.1898, 0.3026) x24
Cu (0.0000, 0.3766, 0.5000) x12
Bi (0.0000, 0.0000, 0.0000) x2

***

La4RuPb after structural relaxation. Source: Alexandria via LeMat-Bulk, functional PBE.

Calculated total energy, eV per cell: -139.78
Density of states at the Fermi level, states/eV per cell: 28.6
Magnetization, μB per cell: 0.003
ΔE to the lowest computed polymorph, meV per atom: 0
ΔH_f (0 K), eV per atom: -0.38

Lattice parameters (Å, degrees): 9.0889 14.5167 6.3759 90.00 115.26 90.00
Space group C2/c (No. 15)
Unique sites:
La (0.1111, 0.1825, 0.0711) x8
La (0.2327, 0.4314, 0.3498) x8
Ru (0.0000, 0.0042, 0.2500) x4
Pb (0.0000, 0.3789, 0.7500) x4

***

ZrPSeCl2 after structural relaxation. Source: Alexandria via LeMat-Bulk, functional PBE.

Calculated total energy, eV per cell: -22.87
Density of states at the Fermi level, states/eV per cell: 5.1
Magnetization, μB per cell: 0.367
Uncorrected formation energy, eV per atom: -0.348
ΔE to the lowest computed polymorph, meV per atom: 0

Lattice parameters (Å, degrees): 4.8567 4.8567 5.4202 90.00 90.00 90.00
Space group P4/mmm (No. 123)
Unique sites:
Zr (0.0000, 0.0000, 0.0000) x1
P (0.0000, 0.0000, 0.5000) x1
Se (0.5000, 0.5000, 0.5000) x1
Cl (0.0000, 0.5000, 0.0000) x2